# PBE-GGA NaPdO2, relaxed
data_NaPdO2
_chemical_formula_sum 'Na3 Pd3 O6'
_space_group_name_H-M_alt 'R 3 m'
_space_group_IT_number 160
_space_group_name_Hall 'R 3 -2"'
_cell_length_a 3.2402
_cell_length_b 3.2402
_cell_length_c 16.2874
_cell_angle_alpha 90.00
_cell_angle_beta 90.00
_cell_angle_gamma 120.00
loop_
_atom_site_label
_atom_site_fract_x
_atom_site_fract_y
_atom_site_fract_z
Na1 0.0000 0.0000 0.0000
Pd1 0.0000 0.0000 0.8264
O1 0.0000 0.0000 0.2249
O2 0.0000 0.0000 0.4276
# ΔE_f (raw) in meV/atom: -756
# Total magnetization in μB per formula unit: 0.89